# MgTl3Te | Alexandria | PBE-GGA | relaxed
# - E above lowest polymorph (eV/f.u.) = 0.00
# - formation energy without anion corrections (meV/atom) = 109
# - total DFT energy (no corrections) (eV/atom) = -2.2576
data_MgTl3Te
_chemical_formula_sum 'Mg1 Tl3 Te1'
_cell_length_a 5.562
_cell_length_b 5.562
_cell_length_c 5.562
_cell_angle_alpha 90.00
_cell_angle_beta 90.00
_cell_angle_gamma 90.00
_space_group_name_H-M_alt 'P m -3 m'
_space_group_IT_number 221
_space_group_name_Hall '-P 4 2 3'
loop_
_atom_site_label
_atom_site_fract_x
_atom_site_fract_y
_atom_site_fract_z
Mg1 0.000 0.000 0.000
Tl1 0.000 0.000 0.500
Te1 0.500 0.500 0.500



# PRhSe2Br | Alexandria | PBE-GGA | relaxed
# - E above lowest polymorph (eV/f.u.) = 0.96
# - formation energy without anion corrections (meV/atom) = 874
# - total DFT energy (no corrections) (eV/atom) = -3.4067
data_PRhSe2Br
_chemical_formula_sum 'P1 Rh1 Se2 Br1'
_cell_length_a 4.851
_cell_length_b 4.851
_cell_length_c 4.892
_cell_angle_alpha 90.00
_cell_angle_beta 90.00
_cell_angle_gamma 90.00
_space_group_name_H-M_alt 'P 4/m m m'
_space_group_IT_number 123
_space_group_name_Hall '-P 4 2'
loop_
_atom_site_label
_atom_site_fract_x
_atom_site_fract_y
_atom_site_fract_z
P1 0.000 0.000 0.000
Rh1 0.500 0.500 0.500
Se1 0.000 0.500 0.000
Br1 0.000 0.000 0.500



# Be4SiRu | Alexandria | PBE-GGA | relaxed
# - formation energy without anion corrections (meV/atom) = -380
# - total DFT energy (no corrections) (eV/atom) = -5.3138
data_Be4SiRu
_chemical_formula_sum 'Be16 Si4 Ru4'
_cell_length_a 6.018
_cell_length_b 6.018
_cell_length_c 6.018
_cell_angle_alpha 90.00
_cell_angle_beta 90.00
_cell_angle_gamma 90.00
_space_group_name_H-M_alt 'F -4 3 m'
_space_group_IT_number 216
_space_group_name_Hall 'F -4 2 3'
loop_
_atom_site_label
_atom_site_fract_x
_atom_site_fract_y
_atom_site_fract_z
Be1 0.125 0.125 0.125
Si1 0.000 0.000 0.500
Ru1 0.250 0.250 0.750



# Ba2InCoN | Alexandria | PBE-GGA | relaxed
# - formation energy without anion corrections (meV/atom) = -290
# - total DFT energy (no corrections) (eV/atom) = -4.6926
data_Ba2InCoN
_chemical_formula_sum 'Ba2 In1 Co1 N1'
_cell_length_a 6.052
_cell_length_b 6.052
_cell_length_c 3.566
_cell_angle_alpha 90.00
_cell_angle_beta 90.00
_cell_angle_gamma 90.00
_space_group_name_H-M_alt 'P 4/m m m'
_space_group_IT_number 123
_space_group_name_Hall '-P 4 2'
loop_
_atom_site_label
_atom_site_fract_x
_atom_site_fract_y
_atom_site_fract_z
Ba1 0.000 0.500 0.000
In1 0.000 0.000 0.500
Co1 0.500 0.500 0.500
N1 0.500 0.500 0.000



# NdGd2Ga | Alexandria | PBE-GGA | relaxed
# - DFT formation energy (eV per atom) = -0.281
# - E above lowest polymorph (eV/f.u.) = 0.00
# - total DFT energy (no corrections) (eV/atom) = -9.2701
data_NdGd2Ga
_chemical_formula_sum 'Nd1 Gd2 Ga1'
_cell_length_a 3.580
_cell_length_b 3.580
_cell_length_c 9.013
_cell_angle_alpha 90.00
_cell_angle_beta 90.00
_cell_angle_gamma 90.00
_space_group_name_H-M_alt 'P 4/m m m'
_space_group_IT_number 123
_space_group_name_Hall '-P 4 2'
loop_
_atom_site_label
_atom_site_fract_x
_atom_site_fract_y
_atom_site_fract_z
Nd1 0.000 0.000 0.000
Gd1 0.500 0.500 0.295
Ga1 0.000 0.000 0.500



# KAgGeAs2 | Alexandria | PBE-GGA | relaxed
# - DFT formation energy (eV per atom) = 1.465
# - total DFT energy (no corrections) (eV/atom) = -2.1076
data_KAgGeAs2
_chemical_formula_sum 'K1 Ag1 Ge1 As2'
_cell_length_a 5.477
_cell_length_b 5.477
_cell_length_c 5.238
_cell_angle_alpha 90.00
_cell_angle_beta 90.00
_cell_angle_gamma 90.00
_space_group_name_H-M_alt 'P 4/m m m'
_space_group_IT_number 123
_space_group_name_Hall '-P 4 2'
loop_
_atom_site_label
_atom_site_fract_x
_atom_site_fract_y
_atom_site_fract_z
K1 0.000 0.000 0.000
Ag1 0.000 0.000 0.500
Ge1 0.500 0.500 0.500
As1 0.000 0.500 0.000



# SiOsSCl2 | Alexandria | PBE-GGA | relaxed
# - E above lowest polymorph (eV/f.u.) = 2.45
# - formation energy without anion corrections (meV/atom) = 1122
# - total DFT energy (no corrections) (eV/atom) = -3.7725
data_SiOsSCl2
_chemical_formula_sum 'Si1 Os1 S1 Cl2'
_cell_length_a 4.447
_cell_length_b 4.447
_cell_length_c 4.663
_cell_angle_alpha 90.00
_cell_angle_beta 90.00
_cell_angle_gamma 90.00
_space_group_name_H-M_alt 'P 4/m m m'
_space_group_IT_number 123
_space_group_name_Hall '-P 4 2'
loop_
_atom_site_label
_atom_site_fract_x
_atom_site_fract_y
_atom_site_fract_z
Si1 0.000 0.000 0.000
Os1 0.500 0.500 0.500
S1 0.000 0.000 0.500
Cl1 0.000 0.500 0.000



# Pm2Nd9Th | Alexandria | PBE-GGA | relaxed
# - DFT formation energy (eV per atom) = 0.027
# - total DFT energy (no corrections) (eV/atom) = -4.9586
data_Pm2Nd9Th
_chemical_formula_sum 'Pm2 Nd9 Th1'
_cell_length_a 5.184
_cell_length_b 5.184
_cell_length_c 15.555
_cell_angle_alpha 90.00
_cell_angle_beta 90.00
_cell_angle_gamma 90.00
_space_group_name_H-M_alt 'P 4/m m m'
_space_group_IT_number 123
_space_group_name_Hall '-P 4 2'
loop_
_atom_site_label
_atom_site_fract_x
_atom_site_fract_y
_atom_site_fract_z
Pm1 0.000 0.000 0.167
Nd1 0.000 0.500 0.000
Nd2 0.000 0.500 0.337
Nd3 0.500 0.500 0.166
Nd4 0.500 0.500 0.500
Th1 0.000 0.000 0.500



# Ag2Ru | Alexandria | PBE-GGA | relaxed
# - DFT formation energy (eV per atom) = 0.354
# - E above lowest polymorph (eV/f.u.) = 0.00
# - total DFT energy (no corrections) (eV/atom) = -4.6385
data_Ag2Ru
_chemical_formula_sum 'Ag8 Ru4'
_cell_length_a 9.164
_cell_length_b 2.797
_cell_length_c 8.428
_cell_angle_alpha 90.00
_cell_angle_beta 114.02
_cell_angle_gamma 90.00
_space_group_name_H-M_alt 'C 1 2/m 1'
_space_group_IT_number 12
loop_
_space_group_symop_operation_xyz
'x,y,z'
'-x,-y,-z'
'-x,y,-z'
'x,-y,z'
'x+1/2,y+1/2,z'
'-x+1/2,-y+1/2,-z'
'-x+1/2,y+1/2,-z'
'x+1/2,-y+1/2,z'
loop_
_atom_site_label
_atom_site_fract_x
_atom_site_fract_y
_atom_site_fract_z
Ag1 0.006 0.000 0.252
Ag2 0.170 0.500 0.595
Ru1 0.159 0.500 0.056



# K3DyTh2Se6 | Alexandria | PBE-GGA | relaxed
# - formation energy without anion corrections (meV/atom) = -1606
# - total DFT energy (no corrections) (eV/atom) = -5.2427
data_K3DyTh2Se6
_chemical_formula_sum 'K6 Dy2 Th4 Se12'
_cell_length_a 7.327
_cell_length_b 12.689
_cell_length_c 8.175
_cell_angle_alpha 90.00
_cell_angle_beta 107.39
_cell_angle_gamma 90.00
_space_group_name_H-M_alt 'C 1 2/m 1'
_space_group_IT_number 12
loop_
_space_group_symop_operation_xyz
'x,y,z'
'-x,-y,-z'
'-x,y,-z'
'x,-y,z'
'x+1/2,y+1/2,z'
'-x+1/2,-y+1/2,-z'
'-x+1/2,y+1/2,-z'
'x+1/2,-y+1/2,z'
loop_
_atom_site_label
_atom_site_fract_x
_atom_site_fract_y
_atom_site_fract_z
K1 0.000 0.000 0.000
K2 0.000 0.333 0.000
Dy1 0.000 0.500 0.500
Th1 0.000 0.166 0.500
Se1 0.236 0.336 0.714
Se2 0.243 0.000 0.714



# LaMoC | Alexandria | PBE-GGA | relaxed
# - DFT formation energy (eV per atom) = 0.102
# - E above lowest polymorph (eV/f.u.) = 0.00
# - total DFT energy (no corrections) (eV/atom) = -8.2254
data_LaMoC
_chemical_formula_sum 'La4 Mo4 C4'
_cell_length_a 3.589
_cell_length_b 3.589
_cell_length_c 18.761
_cell_angle_alpha 90.00
_cell_angle_beta 90.00
_cell_angle_gamma 90.00
_space_group_name_H-M_alt 'I 4/m m m'
_space_group_IT_number 139
_space_group_name_Hall '-I 4 2'
loop_
_atom_site_label
_atom_site_fract_x
_atom_site_fract_y
_atom_site_fract_z
La1 0.000 0.000 0.144
Mo1 0.000 0.500 0.000
C1 0.000 0.000 0.419



# Rb2PS5 | Alexandria | PBE-GGA | relaxed
# - formation energy without anion corrections (meV/atom) = -652
# - total DFT energy (no corrections) (eV/atom) = -4.1495
data_Rb2PS5
_chemical_formula_sum 'Rb2 P1 S5'
_cell_length_a 7.036
_cell_length_b 7.068
_cell_length_c 7.071
_cell_angle_alpha 119.96
_cell_angle_beta 95.00
_cell_angle_gamma 107.40
_space_group_name_H-M_alt 'P 1'
_space_group_IT_number 1
loop_
_space_group_symop_operation_xyz
'x,y,z'
loop_
_atom_site_label
_atom_site_fract_x
_atom_site_fract_y
_atom_site_fract_z
Rb1 0.000 0.000 0.000
Rb2 0.491 0.943 0.439
P1 0.052 0.371 0.690
S1 0.037 0.035 0.523
S2 0.038 0.512 0.010
S3 0.371 0.552 0.688
S4 0.478 0.901 0.911
S5 0.876 0.428 0.499